(1)
5
Lattice="-3.6130 -2.7858 -3.4457 1.7003 -3.4469 1.0039 -3.6939 -0.5618 4.3275" Properties=species:S:1:pos:R:3 comment="ZrTiTe2O, optimized geometry, DFT GGA-PBE" energy_ev_per_atom=-6.381 pbc="T T T"
Te -1.8469 -0.2809 2.1637
Te -1.8065 -1.3929 -1.7228
O 0.8501 -1.7235 0.5019
Zr 0.0000 0.0000 0.0000
Ti -2.8033 -3.3972 0.9428

***

(2)
11
Lattice="6.0213 0.0000 0.0000 -3.0107 4.3979 -2.6439 0.0000 -1.3544 7.4349" Properties=species:S:1:pos:R:3 comment="TlTe2O8, optimized geometry, DFT GGA-PBE" energy_ev_per_atom=-4.870 pbc="T T T"
Tl 0.0000 0.0000 0.0000
Te 0.0000 1.7574 2.5755
Te 3.0107 1.2861 2.2155
O -1.7055 2.8217 2.4670
O 1.3051 0.2218 2.3239
O 0.0000 1.9037 4.4776
O 3.0107 1.1398 0.3134
O 1.7055 2.8217 2.4670
O 4.7162 0.2218 2.3239
O 0.0000 1.9377 0.6169
O 3.0107 1.1058 4.1740

***

(3)
6
Lattice="5.4121 0.0000 0.0000 2.7061 4.6871 0.0000 2.7061 1.5624 6.4175" Properties=species:S:1:pos:R:3 comment="TlTeO, optimized geometry, DFT GGA-PBE" energy_ev_per_atom=-3.883 pbc="T T T"
Tl 5.4121 3.1247 5.2536
Tl 5.4121 3.1247 1.1639
O 2.7061 1.5623 1.3649
O 8.1182 4.6871 5.0525
Te 2.7061 1.5624 3.3063
Te 8.1182 4.6871 3.1112

***

(4)
12
Lattice="5.7670 0.1064 -1.8619 -3.0288 4.9087 -1.8619 -0.0581 -0.1064 6.0598" Properties=species:S:1:pos:R:3 comment="TlTeO4, optimized geometry, DFT GGA-PBE" energy_ev_per_atom=-5.029 e_above_lowest_polymorph_ev_per_atom=0.000 pbc="T T T"
Tl 0.6790 1.2437 -0.9235
Tl 4.2180 2.4975 0.2446
Te 2.0229 3.7052 -2.7511
Te -0.2051 4.8525 0.2789
O -1.3612 4.6641 1.8511
O 2.8576 2.1473 2.0947
O 2.4896 2.6307 -1.1788
O -1.9087 4.8187 -0.9352
O 0.3249 2.5243 3.3320
O 1.4617 4.8187 1.5432
O 4.1221 0.1802 0.3751
O -0.2222 2.8921 0.3021

***

(5)
10
Lattice="-4.4972 -3.7975 -1.2039 0.8662 -4.5942 -4.1086 0.3487 -5.9011 1.9474" Properties=species:S:1:pos:R:3 comment="Tl3TeO6, optimized geometry, DFT GGA-PBE" energy_ev_per_atom=-4.719 pbc="T T T"
Tl -0.9918 -3.8185 -0.9088
Tl -2.2905 -10.4743 -2.4562
Tl 0.0000 0.0000 0.0000
Te -1.6411 -7.1464 -1.6825
O -1.4703 -6.0630 -0.0319
O -2.0394 -8.8040 -0.6721
O -1.8120 -8.2297 -3.3331
O -1.2429 -5.4888 -2.6930
O 0.2620 -7.6839 -1.6359
O -3.5443 -6.6088 -1.7292

***

(6)
8
Lattice="-3.6659 -4.9083 1.2058 4.3265 1.2517 4.3243 -2.5719 5.6892 0.0556" Properties=species:S:1:pos:R:3 comment="Tl3TeO4, optimized geometry, DFT GGA-PBE" energy_ev_per_atom=-4.542 pbc="T T T"
Tl -2.8483 2.0538 1.6983
Tl -0.3095 0.0387 0.0626
Tl 0.6464 0.0151 3.9462
Te -2.5812 -1.4638 3.3538
O 0.2737 4.8163 3.1520
O -0.3488 2.3536 1.5979
O -2.3425 -0.4431 1.6406
O 1.7117 2.3154 3.6862

***

(7)
48
Lattice="-3.4038 3.6434 2.0780 -7.5736 -9.0032 3.3799 8.0051 -1.0924 15.0280" Properties=species:S:1:pos:R:3 comment="Tl2TeO3, optimized geometry, DFT GGA-PBE" energy_ev_per_atom=-4.719 e_above_lowest_polymorph_ev_per_atom=0.000 pbc="T T T"
Tl -2.2498 -5.1738 8.9635
Tl 0.9470 -3.0654 10.5032
Tl -2.6427 -3.5611 12.3793
Tl -1.9991 -1.1042 9.1258
Tl -8.5119 -5.2338 5.6983
Tl 3.8701 0.5685 15.8068
Tl -0.1139 -7.9390 17.3105
Tl -1.1890 -0.3002 2.1562
Tl -5.2296 -3.1563 7.3882
Tl 0.6092 -1.5318 14.1038
Tl 0.4301 -5.4679 13.9130
Tl -1.7543 -2.7484 5.5667
Tl -5.5321 -7.2513 7.2736
Tl 4.2079 -0.9651 12.2061
Tl -3.1867 -6.0321 15.7767
Tl -1.4337 1.3440 5.7153
Te -5.0077 -5.2458 4.0808
Te 3.9431 -3.2485 15.2404
Te -0.3935 -4.0938 17.4890
Te -4.4865 -0.3164 4.1615
Te -5.7540 -5.1619 10.5810
Te 0.8740 0.7516 11.0695
Te -2.3631 -7.4063 12.2008
Te 1.2985 -1.0880 7.1204
O -4.1945 -4.0955 10.3919
O -0.2618 -0.7683 10.9999
O -1.6936 -5.8227 11.3951
O 0.2052 -2.2179 8.1848
O -6.5672 -6.3121 4.2698
O 5.0789 -1.7286 15.3101
O -1.0630 -5.6773 18.2947
O -3.3933 0.8135 3.0971
O -6.2622 -5.2111 8.7525
O 1.9069 0.2392 12.5776
O -1.6640 -7.1302 13.9441
O 0.0747 -0.8024 5.6974
O -4.4995 -5.1965 5.9092
O 2.9101 -2.7361 13.7323
O -1.0925 -4.3698 15.7457
O -3.2628 -0.6020 5.5845
O -3.5338 -7.4453 9.1034
O 3.0743 -1.6967 9.8483
O -4.4569 -4.9725 13.6219
O -1.0283 1.2100 8.3980
O -7.2279 -2.9623 5.5583
O 1.7427 -0.8002 16.4616
O 1.7003 -6.5276 16.0679
O -2.1598 -2.6145 2.8839

***

(8)
10
Lattice="6.2470 0.0000 0.0000 0.0000 6.2470 0.0000 0.0000 0.0000 5.3537" Properties=species:S:1:pos:R:3 comment="Tl2TeO2, optimized geometry, DFT GGA-PBE" energy_ev_per_atom=-3.946 e_above_lowest_polymorph_ev_per_atom=0.000 pbc="T T T"
Tl 1.1256 4.2491 2.6768
Tl 4.2491 5.1214 2.6768
Tl 5.1214 1.9979 2.6768
Tl 1.9979 1.1256 2.6768
Te 0.0000 0.0000 0.0000
Te 3.1235 3.1235 0.0000
O 1.5407 4.6642 0.0000
O 4.6642 4.7062 0.0000
O 4.7062 1.5828 0.0000
O 1.5828 1.5407 0.0000

***

(9)
12
Lattice="7.4119 1.2850 0.0000 -1.8901 7.3649 0.0000 0.0000 0.0000 7.3329" Properties=species:S:1:pos:R:3 comment="Tl4TeO, optimized geometry, DFT GGA-PBE" energy_ev_per_atom=-3.357 pbc="T T T"
Tl -1.0818 7.0605 1.8332
Tl 6.6035 1.5894 5.4997
Tl 3.9782 1.9030 1.8332
Tl 1.5436 6.7469 5.4997
Tl 4.6590 5.4050 0.0060
Tl 0.8627 3.2448 3.6724
Tl 4.6590 5.4050 3.6605
Tl 0.8627 3.2448 7.3270
Te 1.8907 5.8720 1.8332
Te 3.6311 2.7779 5.4997
O 1.5999 1.8668 1.8332
O 3.9219 6.7831 5.4997

***

(10)
4
Lattice="0.0000 3.6387 3.6387 3.6387 0.0000 3.6387 3.6387 3.6387 0.0000" Properties=species:S:1:pos:R:3 comment="Tl2TeO, optimized geometry, DFT GGA-PBE" energy_ev_per_atom=-3.107 e_above_lowest_polymorph_ev_per_atom=0.373 pbc="T T T"
Tl 1.8194 1.8194 1.8194
Tl 5.4581 5.4581 5.4581
Te 3.6387 3.6387 3.6387
O 0.0000 0.0000 0.0000

***

(11)
14
Lattice="6.2265 0.0203 0.0000 -3.0327 5.4381 0.0000 0.0000 0.0000 9.1223" Properties=species:S:1:pos:R:3 comment="TlTe2O4, optimized geometry, DFT GGA-PBE" energy_ev_per_atom=-4.849 pbc="T T T"
Tl 1.5969 2.7292 2.2806
Tl 1.5969 2.7292 6.8417
Te -1.2494 4.2998 0.0000
Te 4.4433 1.1586 0.0000
Te -1.1667 4.4411 4.5611
Te 4.3606 1.0173 4.5611
O 0.6267 4.1972 0.0000
O 2.5671 1.2613 0.0000
O -0.1581 2.8559 4.5611
O 3.3520 2.6026 4.5611
O 3.1133 0.0102 3.2800
O -1.5164 2.7190 1.2811
O 3.1133 0.0102 5.8423
O -1.5164 2.7190 7.8411

***

(12)
19
Lattice="6.5376 0.0061 0.0071 -0.8890 6.4769 0.0071 -0.8890 -1.0204 6.3960" Properties=species:S:1:pos:R:3 comment="Tl6TeO12, optimized geometry, DFT GGA-PBE" energy_ev_per_atom=-4.806 pbc="T T T"
O 5.4131 -0.4961 4.5162
O -1.2326 3.6193 5.9435
O 3.7539 5.9834 0.2266
O -0.6535 5.9587 1.8940
O 5.9921 1.8433 0.4667
O 1.0056 -0.5208 6.1837
O 0.2326 2.1271 3.8504
O 2.0753 3.7189 1.1258
O 3.3998 0.7046 2.7110
O 4.5270 3.3354 2.5598
O 2.6843 1.7437 5.2845
O 1.3597 4.7579 3.6993
Te 0.0000 0.0000 0.0000
Tl 1.1794 3.6259 5.5353
Tl 3.4303 5.2011 2.5217
Tl 4.6825 1.8378 4.4580
Tl 3.5801 1.8367 0.8750
Tl 1.3293 0.2615 3.8885
Tl 0.0770 3.6248 1.9523